Entry 1:
Here is LaLuGaPt after structural relaxation from the Alexandria database. Energies are from GGA-PBE.

Output
SG = No. 216
total DFT energy (no corrections) = -5.4261 eV per atom
density = 10.3 g/cm³

Cell lengths 5.0971, 5.0971, 5.0971 Å; angles 60.00, 60.00, 60.00 degrees
Closest atoms and distances in Å follow each position.
Sites, in units of the cell vectors:
Lu 0.2500 0.2500 0.2500  4 Pt 3.12, 4 Ga 3.12
Pt 0.0000 0.0000 0.0000  4 Lu 3.12, 4 La 3.12
La 0.7500 0.7500 0.7500  4 Ga 3.12, 4 Pt 3.12
Ga 0.5000 0.5000 0.5000  4 La 3.12, 4 Lu 3.12

=====

Entry 2:
Here is LaLuGaRu after structural relaxation from the Alexandria database. Energies are from GGA-PBE.

Output
SG = No. 216
total DFT energy (no corrections) = -5.8133 eV per atom
density = 9.0 g/cm³

Cell lengths 5.0149, 5.0149, 5.0149 Å; angles 60.00, 60.00, 60.00 degrees
Closest atoms and distances in Å follow each position.
Sites, in units of the cell vectors:
Ru 0.7500 0.7500 0.7500  4 La 3.07, 4 Lu 3.07
Ga 0.2500 0.2500 0.2500  4 La 3.07, 4 Lu 3.07
Lu 0.5000 0.5000 0.5000  4 Ru 3.07, 4 Ga 3.07
La 0.0000 0.0000 0.0000  4 Ru 3.07, 4 Ga 3.07

=====

Entry 3:
Here is LaSmLuGa after structural relaxation from the Alexandria database. Energies are from GGA-PBE.

Output
SG = No. 216
total DFT energy (no corrections) = -4.4275 eV per atom
density = 7.9 g/cm³

Cell lengths 5.4217, 5.4217, 5.4217 Å; angles 60.00, 60.00, 60.00 degrees
Closest atoms and distances in Å follow each position.
Sites, in units of the cell vectors:
La 0.2500 0.2500 0.2500  4 Ga 3.32, 4 Lu 3.32
Lu 0.0000 0.0000 0.0000  4 La 3.32, 4 Sm 3.32
Sm 0.7500 0.7500 0.7500  4 Ga 3.32, 4 Lu 3.32
Ga 0.5000 0.5000 0.5000  4 La 3.32, 4 Sm 3.32

=====

Entry 4:
Here is LaTbLuGa after structural relaxation from the Alexandria database. Energies are from GGA-PBE.

Output
SG = No. 216
total DFT energy (no corrections) = -4.3975 eV per atom
density = 8.1 g/cm³

Cell lengths 5.3899, 5.3899, 5.3899 Å; angles 60.00, 60.00, 60.00 degrees
Closest atoms and distances in Å follow each position.
Sites, in units of the cell vectors:
Ga 0.2500 0.2500 0.2500  4 Tb 3.30, 4 La 3.30
Lu 0.7500 0.7500 0.7500  4 Tb 3.30, 4 La 3.30
Tb 0.0000 0.0000 0.0000  4 Ga 3.30, 4 Lu 3.30
La 0.5000 0.5000 0.5000  4 Lu 3.30, 4 Ga 3.30

=====

Entry 5:
Here is LaYLuGa after structural relaxation from the Alexandria database. Energies are from GGA-PBE.

Output
SG = No. 216
total DFT energy (no corrections) = -4.8676 eV per atom
density = 7.1 g/cm³

Cell lengths 5.3943, 5.3943, 5.3943 Å; angles 60.00, 60.00, 60.00 degrees
Closest atoms and distances in Å follow each position.
Sites, in units of the cell vectors:
Y 0.0000 0.0000 0.0000  4 Ga 3.30, 4 Lu 3.30
Lu 0.2500 0.2500 0.2500  4 La 3.30, 4 Y 3.30
La 0.5000 0.5000 0.5000  4 Lu 3.30, 4 Ga 3.30
Ga 0.7500 0.7500 0.7500  4 Y 3.30, 4 La 3.30

=====

Entry 6:
Here is La3Mg2Ga4 after structural relaxation from the Alexandria database. Energies are from GGA-PBE.

Output
SG = No. 12
total DFT energy (no corrections) = -3.8431 eV per atom
density = 5.4 g/cm³

Cell lengths 4.6125, 6.2023, 9.3519 Å; angles 67.71, 75.72, 68.17 degrees
Closest atoms and distances in Å follow each position.
Sites, in units of the cell vectors:
La 0.3617 0.5858 0.6909  7 Ga 3.11-3.34, 4 Mg 3.29-3.42
La 0.6383 0.4142 0.3091  7 Ga 3.11-3.34, 4 Mg 3.29-3.42
La 0.0000 0.0000 0.0000  8 Ga 3.30-3.57
Ga 0.9256 0.7345 0.4143  1 Ga 2.65, 2 Mg 2.72
Ga 0.7137 0.6247 0.9478  2 Ga 2.72, 1 Mg 2.78
Ga 0.2863 0.3753 0.0522  2 Ga 2.72, 1 Mg 2.78
Ga 0.0744 0.2655 0.5857  1 Ga 2.65, 2 Mg 2.72
Mg 0.6644 0.0051 0.6661  3 Ga 2.72-2.78
Mg 0.3356 0.9949 0.3339  3 Ga 2.72-2.78

=====

Entry 7:
Here is La3Mg2Ga9 after structural relaxation from the Alexandria database. Energies are from GGA-PBE.

Output
SG = No. 71
total DFT energy (no corrections) = -3.7578 eV per atom
density = 6.1 g/cm³

Cell lengths 4.3675, 8.7234, 8.7234 Å; angles 71.40, 75.50, 75.50 degrees
Closest atoms and distances in Å follow each position.
Sites, in units of the cell vectors:
Ga 0.8552 0.8719 0.4177  3 Ga 2.64-2.75, 2 Mg 2.93
Ga 0.1448 0.5823 0.1281  3 Ga 2.64-2.75, 2 Mg 2.93
Ga 0.1448 0.1281 0.5823  3 Ga 2.64-2.75, 2 Mg 2.93
Ga 0.3350 0.0353 0.2947  4 Ga 2.64-2.75, 1 Mg 2.76
Ga 0.0000 0.5000 0.5000  4 Ga 3.03, 4 Mg 3.06, 4 La 3.36
Ga 0.8552 0.4177 0.8719  3 Ga 2.64-2.75, 2 Mg 2.93
Ga 0.6650 0.9647 0.7053  4 Ga 2.64-2.75, 1 Mg 2.76
Ga 0.6650 0.7053 0.9647  4 Ga 2.64-2.75, 1 Mg 2.76
Ga 0.3350 0.2947 0.0353  4 Ga 2.64-2.75, 1 Mg 2.76
Mg 0.5000 0.7102 0.2898  8 Ga 2.76-3.06
Mg 0.5000 0.2898 0.7102  8 Ga 2.76-3.06
La 0.0000 0.0000 0.0000  12 Ga 3.39-3.40, 4 Mg 3.67
La 0.6892 0.3108 0.3108  12 Ga 3.22-3.57, 2 Mg 3.33
La 0.3108 0.6892 0.6892  12 Ga 3.22-3.57, 2 Mg 3.33

=====

Entry 8:
Here is La3Mg4Ga4 after structural relaxation from the Alexandria database. Energies are from GGA-PBE.

Output
SG = No. 71
total DFT energy (no corrections) = -3.4898 eV per atom
density = 4.9 g/cm³

Cell lengths 4.6562, 7.4730, 8.8718 Å; angles 114.91, 105.21, 90.00 degrees
Closest atoms and distances in Å follow each position.
Sites, in units of the cell vectors:
Mg 0.3290 0.1346 0.6580  4 Ga 2.79-2.85, 1 Mg 2.91
Mg 0.6710 0.8654 0.3419  4 Ga 2.79-2.85, 1 Mg 2.91
Mg 0.3290 0.5234 0.6580  4 Ga 2.79-2.85, 1 Mg 2.91
Mg 0.6710 0.4766 0.3419  4 Ga 2.79-2.85, 1 Mg 2.91
Ga 0.2187 0.7187 0.4374  6 Mg 2.84-2.85
Ga 0.7813 0.2813 0.5626  6 Mg 2.84-2.85
Ga 0.5000 0.8182 0.0000  1 Ga 2.72, 2 Mg 2.79
Ga 0.5000 0.1818 0.0000  1 Ga 2.72, 2 Mg 2.79
La 0.1219 0.1219 0.2438  6 Ga 3.29-3.38, 6 Mg 3.35-3.51
La 0.8781 0.8781 0.7562  6 Ga 3.29-3.38, 6 Mg 3.35-3.51
La 0.0000 0.5000 0.0000  6 Ga 3.33-3.37

=====

Entry 9:
Here is LaMg3Ga3 after structural relaxation from the Alexandria database. Energies are from GGA-PBE.

Output
SG = No. 11
total DFT energy (no corrections) = -2.9533 eV per atom
density = 4.4 g/cm³

Cell lengths 4.5770, 7.8127, 9.6187 Å; angles 113.49, 90.00, 90.00 degrees
Closest atoms and distances in Å follow each position.
Sites, in units of the cell vectors:
La 0.2500 0.6175 0.2939  8 Ga 3.11-3.24, 3 Mg 3.28-3.48
La 0.7500 0.3825 0.7061  8 Ga 3.11-3.24, 3 Mg 3.28-3.48
Mg 0.7500 0.8179 0.0369  3 Ga 2.85-3.13, 2 Mg 3.00
Mg 0.2500 0.0075 0.2412  4 Ga 2.82-3.15, 4 Mg 3.00-3.02
Mg 0.7500 0.2689 0.2623  4 Ga 2.80-2.97, 2 Mg 3.02
Mg 0.2500 0.7311 0.7377  4 Ga 2.80-2.97, 2 Mg 3.02
Mg 0.7500 0.9925 0.7588  4 Ga 2.82-3.15, 4 Mg 3.00-3.02
Mg 0.2500 0.1821 0.9631  3 Ga 2.85-3.13, 2 Mg 3.00
Ga 0.2500 0.3665 0.4768  4 Mg 2.82-2.97, 3 Ga 2.91-3.01, 3 La 3.11-3.15
Ga 0.2500 0.0682 0.5852  3 Ga 2.77-2.91, 2 Mg 3.03
Ga 0.7500 0.9318 0.4148  3 Ga 2.77-2.91, 2 Mg 3.03
Ga 0.2500 0.5808 0.9582  4 Mg 2.80-3.13, 2 Ga 2.88, 1 La 3.13
Ga 0.7500 0.6335 0.5232  4 Mg 2.82-2.97, 3 Ga 2.91-3.01, 3 La 3.11-3.15
Ga 0.7500 0.4192 0.0418  4 Mg 2.80-3.13, 2 Ga 2.88, 1 La 3.13

=====

Entry 10:
Here is LaMg2Ga6 after structural relaxation from the Alexandria database. Energies are from GGA-PBE.

Output
SG = No. 191
total DFT energy (no corrections) = -3.1814 eV per atom
density = 5.4 g/cm³

Cell lengths 3.4171, 7.9139, 7.9139 Å; angles 120.00, 90.00, 90.00 degrees
Closest atoms and distances in Å follow each position.
Sites, in units of the cell vectors:
La 0.0000 0.0000 0.0000  12 Ga 3.19, 2 La 3.42
Ga 0.5000 0.6592 0.0000  3 Ga 2.52-2.70
Ga 0.5000 0.3408 0.3408  3 Ga 2.52-2.70
Ga 0.5000 0.6592 0.6592  3 Ga 2.52-2.70
Ga 0.5000 0.0000 0.3408  3 Ga 2.52-2.70
Ga 0.5000 0.3408 0.0000  3 Ga 2.52-2.70
Ga 0.5000 0.0000 0.6592  3 Ga 2.52-2.70
Mg 0.0000 0.3333 0.6667  12 Ga 3.12, 2 Mg 3.42
Mg 0.0000 0.6667 0.3333  12 Ga 3.12, 2 Mg 3.42

=====

Q: Which energy of formation values were calculated for the entries above? A: -0.80; -0.38; -0.13; -0.12; -0.13; -0.50; -0.53; -0.47; -0.27; -0.26, in eV per atom.